1.
First-principles (PBE-GGA) data for KIr2Pt after structural relaxation, as listed in Alexandria. Values from VASP.

Structure (Quantum ESPRESSO input):
```
&SYSTEM
  ibrav = 0, nat = 4, ntyp = 3
/
ATOMIC_SPECIES
K 39.10 K.upf
Ir 192.22 Ir.upf
Pt 195.08 Pt.upf
ATOMIC_POSITIONS crystal
K 0.000 0.000 0.000
Ir 0.500 0.500 0.298
Ir 0.500 0.500 0.702
Pt 0.000 0.000 0.500
CELL_PARAMETERS angstrom
2.794 0.000 0.000
0.000 2.794 0.000
0.000 0.000 9.291
```

Results
total DFT energy (no corrections): -5.69 eV per atom
energy of formation from the pure elements: 0.5286 eV per atom
total magnetization: 0.00 μB per cell
ΔE to the lowest computed polymorph: 0.2120 eV/atom

2.
First-principles (PBE-GGA) data for TiZn2Pt2 after structural relaxation, as listed in Alexandria. Values from VASP.

Structure (Quantum ESPRESSO input):
```
&SYSTEM
  ibrav = 0, nat = 5, ntyp = 3
/
ATOMIC_SPECIES
Ti 47.87 Ti.upf
Zn 65.41 Zn.upf
Pt 195.08 Pt.upf
ATOMIC_POSITIONS crystal
Ti 0.000 0.000 0.000
Zn 0.193 0.193 0.600
Zn 0.807 0.807 0.400
Pt 0.409 0.409 0.195
Pt 0.591 0.591 0.805
CELL_PARAMETERS angstrom
4.255 -1.956 0.000
4.255 1.956 0.000
-4.209 0.000 4.515
```

Results
total DFT energy (no corrections): -5.13 eV per atom
energy of formation from the pure elements: -0.6237 eV per atom
total magnetization: 0.00 μB per cell
ΔE to the lowest computed polymorph: 0.0000 eV/atom

3.
First-principles (PBE-GGA) data for Sm2Dy3TmSb6 after structural relaxation, as listed in Alexandria. Values from VASP.

Structure (Quantum ESPRESSO input):
```
&SYSTEM
  ibrav = 0, nat = 12, ntyp = 4
/
ATOMIC_SPECIES
Sm 150.36 Sm.upf
Dy 162.50 Dy.upf
Tm 168.93 Tm.upf
Sb 121.76 Sb.upf
ATOMIC_POSITIONS crystal
Sm 0.166 0.166 0.333
Sm 0.834 0.834 0.667
Dy 0.168 0.168 0.834
Dy 0.500 0.500 0.500
Dy 0.832 0.832 0.166
Tm 0.500 0.500 0.000
Sb 0.002 0.002 0.753
Sb 0.334 0.334 0.414
Sb 0.335 0.335 0.921
Sb 0.665 0.665 0.079
Sb 0.666 0.666 0.586
Sb 0.998 0.998 0.247
CELL_PARAMETERS angstrom
9.600 -2.203 0.000
9.600 2.203 0.000
-2.017 0.000 8.576
```

Results
total DFT energy (no corrections): -5.50 eV per atom
total magnetization: 0.00 μB per cell
raw formation energy: -1.1334 eV/atom

4.
First-principles (PBE-GGA) data for RbPrSeBr after structural relaxation, as listed in Alexandria. Values from VASP.

Structure (Quantum ESPRESSO input):
```
&SYSTEM
  ibrav = 0, nat = 4, ntyp = 4
/
ATOMIC_SPECIES
Rb 85.47 Rb.upf
Pr 140.91 Pr.upf
Se 78.96 Se.upf
Br 79.90 Br.upf
ATOMIC_POSITIONS crystal
Rb 0.000 0.000 0.000
Pr 0.818 0.818 0.818
Se 0.420 0.420 0.420
Br 0.230 0.230 0.230
CELL_PARAMETERS angstrom
2.147 1.239 8.439
-2.147 1.239 8.439
0.000 -2.479 8.439
```

Results
total DFT energy (no corrections): -4.24 eV per atom
total magnetization: 0.00 μB per cell
raw formation energy: -1.5164 eV/atom

5.
First-principles (PBE-GGA) data for IrPt2I after structural relaxation, as listed in Alexandria. Values from VASP.

Structure (Quantum ESPRESSO input):
```
&SYSTEM
  ibrav = 0, nat = 4, ntyp = 3
/
ATOMIC_SPECIES
Ir 192.22 Ir.upf
Pt 195.08 Pt.upf
I 126.90 I.upf
ATOMIC_POSITIONS crystal
Ir 0.000 0.000 0.000
Pt 0.250 0.250 0.250
Pt 0.750 0.750 0.750
I 0.500 0.500 0.500
CELL_PARAMETERS angstrom
0.000 3.286 3.286
3.286 0.000 3.286
3.286 3.286 0.000
```

Results
total DFT energy (no corrections): -4.83 eV per atom
total magnetization: 0.00 μB per cell
ΔE to the lowest computed polymorph: 0.1648 eV/atom
raw formation energy: 0.7980 eV/atom

6.
First-principles (PBE-GGA) data for LiNdCd2 after structural relaxation, as listed in Alexandria. Values from VASP.

Structure (Quantum ESPRESSO input):
```
&SYSTEM
  ibrav = 0, nat = 4, ntyp = 3
/
ATOMIC_SPECIES
Li 6.94 Li.upf
Nd 144.24 Nd.upf
Cd 112.41 Cd.upf
ATOMIC_POSITIONS crystal
Li 0.000 0.000 0.000
Nd 0.500 0.500 0.000
Cd 0.000 0.500 0.500
Cd 0.500 0.000 0.500
CELL_PARAMETERS angstrom
5.364 0.000 0.000
0.000 5.364 0.000
0.000 0.000 3.568
```

Results
total DFT energy (no corrections): -2.33 eV per atom
energy of formation from the pure elements: -0.1996 eV per atom
total magnetization: 0.00 μB per cell
ΔE to the lowest computed polymorph: 0.0808 eV/atom